Nb2TlIr: relaxed, PBE.

Geometry as POSCAR:
```
Nb2TlIr
1.0
7.5889 0.0000 0.0000
0.0000 7.5889 0.0000
3.7944 3.7944 2.8384
Nb Tl Ir
4 2 2
direct
0.3750 0.4211 0.7500
0.1711 0.6250 0.2500
0.5789 0.1250 0.2500
0.8750 0.8289 0.7500
0.0000 0.0000 0.0000
0.7500 0.2500 0.5000
0.5000 0.5000 0.0000
0.2500 0.7500 0.5000
```

Values from the calculation:
- energy above the most stable polymorph in this dataset (meV/atom) = 66
- space group = I-42d (122)
- uncorrected energy (eV/atom) = -7.4545